19
Lattice="7.634 4.407 5.072 -7.634 4.407 5.072 0.000 -8.815 5.072" Properties=species:S:1:pos:R:3 comment="Cs6NpBr12, relaxed, DFT GGA-PBE" spacegroup="No. 148" total_magnetization_mub_per_atom=0.1938 dft_energy_ev_per_cell=-65.130 pbc="T T T"
Cs -5.169 -1.749 8.102
Cs -1.070 -5.351 7.115
Cs -4.099 3.602 7.115
Cs 4.099 -3.602 8.102
Cs 1.070 5.351 8.102
Cs 5.169 1.749 7.115
Np 0.000 0.000 7.608
Br -6.598 1.142 6.614
Br -4.288 -5.143 8.603
Br -1.669 -1.485 6.053
Br 2.310 -6.285 6.614
Br -0.451 2.188 6.053
Br -2.120 0.703 9.164
Br 2.120 -0.703 6.053
Br 0.451 -2.188 9.164
Br -2.310 6.285 8.603
Br 1.669 1.485 9.164
Br 4.288 5.143 6.614
Br 6.598 -1.142 8.603

=====

4
Lattice="0.000 3.470 3.470 3.470 0.000 3.470 3.470 3.470 0.000" Properties=species:S:1:pos:R:3 comment="CsTlW2, relaxed, DFT GGA-PBE" spacegroup="No. 225" total_magnetization_mub_per_atom=0.0000 dft_energy_ev_per_cell=-19.544 e_form_ev_per_fu=9.6 pbc="T T T"
Cs 0.000 0.000 0.000
Tl 3.470 3.470 3.470
W 1.735 1.735 1.735
W 5.206 5.206 5.206

=====

14
Lattice="-3.404 6.226 2.791 3.404 -6.226 2.791 3.404 6.226 -2.791" Properties=species:S:1:pos:R:3 comment="Mg2Zn5, relaxed, DFT GGA-PBE" spacegroup="No. 72" total_magnetization_mub_per_atom=0.0000 dft_energy_ev_per_cell=-20.080 e_form_ev_per_fu=-0.5 pbc="T T T"
Mg 1.157 1.146 0.000
Mg 1.157 -1.146 2.791
Mg 2.246 7.373 0.000
Mg 2.246 5.080 2.791
Zn 3.404 -2.892 1.396
Zn 5.172 1.638 0.000
Zn 3.404 0.000 1.396
Zn 1.768 4.588 0.000
Zn 3.404 2.892 1.396
Zn 0.000 3.334 1.396
Zn 1.636 1.638 2.791
Zn 0.000 6.226 1.396
Zn -1.768 4.588 2.791
Zn 0.000 9.118 1.396

=====

8
Lattice="-2.913 2.913 6.285 2.913 -2.913 6.285 2.913 2.913 -6.285" Properties=species:S:1:pos:R:3 comment="YFeSe2, relaxed, DFT GGA-PBE" spacegroup="No. 122" total_magnetization_mub_per_atom=0.7499 dft_energy_ev_per_cell=-50.032 pbc="T T T"
Y 0.000 0.000 0.000
Y 0.000 2.913 3.142
Fe 2.913 0.000 3.142
Fe 0.000 0.000 6.285
Se 1.457 -1.177 4.714
Se 1.736 1.457 1.571
Se 1.457 4.090 -1.571
Se 1.177 1.457 7.856